{"formula": "EuAl4", "functional": "GGA-PBEsol", "state": "relaxed", "energy_ev_per_atom": -5.663, "dos_at_fermi_per_ev_cell": 1.3, "sg": "I4/mmm (139)", "lattice": [[-3.743, 1.630, -1.310], [-0.161, -2.904, -3.150], [-0.763, -2.880, 5.611]], "species": ["Al", "Al", "Al", "Al", "Eu"], "frac_coords": [[0.750, 0.250, 0.500], [0.250, 0.750, 0.500], [0.613, 0.613, 0.226], [0.387, 0.387, 0.774], [0.000, 0.000, 0.000]]}



{"formula": "EuAl", "functional": "GGA-PBEsol", "state": "relaxed", "energy_ev_per_atom": -7.591, "dos_at_fermi_per_ev_cell": 7.8, "sg": "Cmcm (63)", "lattice": [[3.550, 0.000, 0.000], [0.000, 4.634, 0.000], [-1.775, 0.000, 6.213]], "species": ["Al", "Al", "Eu", "Eu"], "frac_coords": [[0.559, 0.250, 0.117], [0.441, 0.750, 0.883], [0.162, 0.750, 0.324], [0.838, 0.250, 0.676]]}



{"formula": "EuAl2Ga2", "functional": "GGA-PBEsol", "state": "relaxed", "energy_ev_per_atom": -5.545, "dos_at_fermi_per_ev_cell": 1.3, "sg": "I4/mmm (139)", "lattice": [[-3.191, 1.102, -2.538], [2.342, -0.987, -3.373], [-1.478, -5.167, 3.129]], "species": ["Al", "Al", "Ga", "Ga", "Eu"], "frac_coords": [[0.750, 0.250, 0.500], [0.250, 0.750, 0.500], [0.387, 0.387, 0.775], [0.613, 0.613, 0.225], [0.000, 0.000, 0.000]]}



{"formula": "Eu2Al3Ga", "functional": "GGA-PBEsol", "state": "relaxed", "energy_ev_per_atom": -6.596, "dos_at_fermi_per_ev_cell": 10.3, "sg": "R-3m (166)", "lattice": [[-2.094, -3.263, 4.016], [3.305, -1.849, 4.101], [-0.616, 2.036, 5.213]], "species": ["Ga", "Eu", "Eu", "Al", "Al", "Al"], "frac_coords": [[0.500, 0.500, 0.500], [0.126, 0.126, 0.622], [0.874, 0.874, 0.378], [0.000, 0.500, 0.000], [0.500, 0.500, 0.000], [0.500, 0.000, 0.000]]}



{"formula": "EuAl2Ge", "functional": "GGA-PBEsol", "state": "relaxed", "energy_ev_per_atom": -6.401, "dos_at_fermi_per_ev_cell": 24.6, "sg": "Pnma (62)", "lattice": [[-3.586, 0.434, 2.204], [-3.492, -3.699, -4.954], [2.214, -9.390, 5.450]], "species": ["Ge", "Ge", "Ge", "Ge", "Al", "Al", "Al", "Al", "Al", "Al", "Al", "Al", "Eu", "Eu", "Eu", "Eu"], "frac_coords": [[0.750, 0.162, 0.136], [0.250, 0.838, 0.864], [0.250, 0.338, 0.636], [0.750, 0.662, 0.364], [0.750, 0.156, 0.560], [0.750, 0.656, 0.940], [0.750, 0.022, 0.341], [0.750, 0.522, 0.159], [0.250, 0.844, 0.440], [0.250, 0.978, 0.659], [0.250, 0.478, 0.841], [0.250, 0.344, 0.060], [0.750, 0.652, 0.643], [0.750, 0.152, 0.857], [0.250, 0.348, 0.357], [0.250, 0.848, 0.143]]}



{"formula": "EuAlGe", "functional": "GGA-PBEsol", "state": "relaxed", "energy_ev_per_atom": -7.116, "dos_at_fermi_per_ev_cell": 20.6, "sg": "I4_1md (109)", "lattice": [[-2.036, 1.396, -3.468], [-0.563, -4.018, -1.288], [-5.115, 1.037, 6.032]], "species": ["Ge", "Ge", "Al", "Al", "Eu", "Eu"], "frac_coords": [[0.667, 0.667, 0.334], [0.917, 0.417, 0.834], [0.082, 0.582, 0.165], [0.832, 0.832, 0.665], [0.250, 0.250, 0.499], [0.500, 0.000, 0.999]]}



{"formula": "EuAlGe2O7", "functional": "GGA-PBEsol", "state": "relaxed", "formation_energy_uncorrected_ev_per_atom": -2.29, "dos_at_fermi_per_ev_cell": 50.2, "sg": "P2_1/c (14)", "lattice": [[-1.491, 4.695, 4.274], [-4.189, -4.611, 3.604], [7.993, -3.860, 7.029]], "species": ["Ge", "Ge", "Ge", "Ge", "Ge", "Ge", "Ge", "Ge", "O", "O", "O", "O", "O", "O", "O", "O", "O", "O", "O", "O", "O", "O", "O", "O", "O", "O", "O", "O", "O", "O", "O", "O", "O", "O", "O", "O", "Eu", "Eu", "Eu", "Eu", "Al", "Al", "Al", "Al"], "frac_coords": [[0.410, 0.581, 0.222], [0.158, 0.258, 0.452], [0.842, 0.742, 0.548], [0.658, 0.242, 0.048], [0.090, 0.081, 0.722], [0.910, 0.919, 0.278], [0.590, 0.419, 0.778], [0.342, 0.758, 0.952], [0.501, 0.324, 0.925], [0.841, 0.411, 0.083], [0.827, 0.066, 0.026], [0.341, 0.089, 0.417], [0.327, 0.434, 0.474], [0.318, 0.969, 0.689], [0.173, 0.934, 0.974], [0.659, 0.911, 0.583], [0.001, 0.176, 0.575], [0.999, 0.824, 0.425], [0.673, 0.566, 0.526], [0.946, 0.337, 0.366], [0.182, 0.469, 0.189], [0.621, 0.231, 0.694], [0.118, 0.056, 0.222], [0.499, 0.676, 0.075], [0.618, 0.444, 0.278], [0.121, 0.269, 0.806], [0.882, 0.944, 0.778], [0.682, 0.031, 0.311], [0.054, 0.663, 0.634], [0.446, 0.163, 0.134], [0.379, 0.769, 0.306], [0.554, 0.837, 0.866], [0.382, 0.556, 0.722], [0.879, 0.731, 0.194], [0.818, 0.531, 0.811], [0.159, 0.589, 0.917], [0.147, 0.234, 0.026], [0.353, 0.734, 0.526], [0.853, 0.766, 0.974], [0.647, 0.266, 0.474], [0.899, 0.481, 0.229], [0.101, 0.519, 0.771], [0.399, 0.019, 0.271], [0.601, 0.981, 0.729]]}



{"formula": "LaEuAl4", "functional": "GGA-PBEsol", "state": "relaxed", "energy_ev_per_atom": -5.855, "dos_at_fermi_per_ev_cell": 4.6, "sg": "F-43m (216)", "lattice": [[-3.349, 2.482, 3.825], [0.677, -1.120, 5.504], [2.100, 3.958, 3.455]], "species": ["Al", "Al", "Al", "Al", "La", "Eu"], "frac_coords": [[0.375, 0.375, 0.375], [0.375, 0.875, 0.375], [0.875, 0.375, 0.375], [0.375, 0.375, 0.875], [0.000, 0.000, 0.000], [0.750, 0.750, 0.750]]}



{"formula": "Eu2Al3O8", "functional": "GGA-PBEsol", "state": "relaxed", "formation_energy_uncorrected_ev_per_atom": -2.80, "dos_at_fermi_per_ev_cell": 7.0, "sg": "I-43m (217)", "lattice": [[7.669, 0.000, 0.000], [-2.556, 7.231, 0.000], [-2.556, -3.615, 6.262]], "species": ["Eu", "Eu", "Eu", "Eu", "Al", "Al", "Al", "Al", "Al", "Al", "O", "O", "O", "O", "O", "O", "O", "O", "O", "O", "O", "O", "O", "O", "O", "O"], "frac_coords": [[0.290, 0.290, 0.290], [0.000, 0.710, 0.000], [0.000, 0.000, 0.710], [0.710, 0.000, 0.000], [0.750, 0.250, 0.500], [0.500, 0.750, 0.250], [0.250, 0.500, 0.750], [0.250, 0.750, 0.500], [0.750, 0.500, 0.250], [0.500, 0.250, 0.750], [0.272, 0.272, 0.724], [0.000, 0.728, 0.452], [0.724, 0.272, 0.272], [0.728, 0.000, 0.452], [0.000, 0.452, 0.728], [0.276, 0.548, 0.548], [0.212, 0.000, 0.000], [0.548, 0.276, 0.548], [0.788, 0.788, 0.788], [0.000, 0.212, 0.000], [0.452, 0.728, 0.000], [0.728, 0.452, 0.000], [0.272, 0.724, 0.272], [0.452, 0.000, 0.728], [0.000, 0.000, 0.212], [0.548, 0.548, 0.276]]}



{"formula": "EuAl4Pt", "functional": "GGA-PBEsol", "state": "relaxed", "energy_ev_per_atom": -6.343, "dos_at_fermi_per_ev_cell": 14.9, "sg": "Cmcm (63)", "lattice": [[-3.812, -1.711, 0.623], [-0.168, -1.940, -6.350], [5.325, -6.031, 1.702]], "species": ["Pt", "Pt", "Al", "Al", "Al", "Al", "Al", "Al", "Al", "Al", "Eu", "Eu"], "frac_coords": [[0.279, 0.250, 0.557], [0.721, 0.750, 0.443], [0.000, 0.000, 0.000], [0.185, 0.549, 0.369], [0.569, 0.750, 0.138], [0.815, 0.049, 0.631], [0.000, 0.500, 0.000], [0.815, 0.451, 0.631], [0.431, 0.250, 0.862], [0.185, 0.951, 0.369], [0.618, 0.250, 0.237], [0.382, 0.750, 0.763]]}



{"formula": "EuAl2S4", "functional": "GGA-PBEsol", "state": "relaxed", "formation_energy_uncorrected_ev_per_atom": -1.44, "sg": "Cccm (66)", "lattice": [[5.922, 0.000, 0.000], [-2.961, 5.073, 0.000], [0.000, 0.000, 10.200]], "species": ["S", "S", "S", "S", "S", "S", "S", "S", "Al", "Al", "Al", "Al", "Eu", "Eu"], "frac_coords": [[0.500, 0.500, 0.331], [0.650, 0.836, 0.000], [0.000, 0.500, 0.169], [0.186, 0.836, 0.500], [0.500, 0.500, 0.669], [0.814, 0.164, 0.500], [0.000, 0.500, 0.831], [0.350, 0.164, 0.000], [0.237, 0.476, 0.000], [0.763, 0.524, 0.000], [0.239, 0.476, 0.500], [0.761, 0.524, 0.500], [0.500, 0.000, 0.250], [0.500, 0.000, 0.750]]}



{"formula": "EuAl2Se4", "functional": "GGA-PBEsol", "state": "relaxed", "formation_energy_uncorrected_ev_per_atom": -1.21, "sg": "Cccm (66)", "lattice": [[-0.914, 6.130, -0.262], [-1.250, -3.105, 5.164], [9.992, 1.634, 3.402]], "species": ["Se", "Se", "Se", "Se", "Se", "Se", "Se", "Se", "Al", "Al", "Al", "Al", "Eu", "Eu"], "frac_coords": [[0.812, 0.155, 0.500], [0.343, 0.155, 0.000], [0.500, 0.500, 0.673], [0.657, 0.845, 0.000], [0.000, 0.500, 0.827], [0.500, 0.500, 0.327], [0.000, 0.500, 0.173], [0.188, 0.845, 0.500], [0.239, 0.480, 0.000], [0.241, 0.480, 0.500], [0.759, 0.520, 0.500], [0.761, 0.520, 0.000], [0.500, 0.000, 0.250], [0.500, 0.000, 0.750]]}



{"formula": "EuAl3Si", "functional": "GGA-PBEsol", "state": "relaxed", "formation_energy_uncorrected_ev_per_atom": -0.32, "dos_at_fermi_per_ev_cell": 2.9, "sg": "I4mm (107)", "lattice": [[4.171, 0.000, 0.000], [0.000, 4.171, 0.000], [-2.085, -2.085, 5.569]], "species": ["Eu", "Al", "Al", "Al", "Si"], "frac_coords": [[0.005, 0.005, 0.011], [0.748, 0.248, 0.495], [0.248, 0.748, 0.495], [0.389, 0.389, 0.778], [0.610, 0.610, 0.221]]}



{"formula": "EuAl2Si2", "functional": "GGA-PBEsol", "state": "relaxed", "formation_energy_uncorrected_ev_per_atom": -0.37, "dos_at_fermi_per_ev_cell": 9.6, "sg": "P-3m1 (164)", "lattice": [[-1.539, -3.857, 0.255], [4.080, 0.578, -0.578], [0.956, 0.070, 6.825]], "species": ["Eu", "Si", "Si", "Al", "Al"], "frac_coords": [[0.000, 0.000, 0.000], [0.667, 0.333, 0.739], [0.333, 0.667, 0.261], [0.333, 0.667, 0.635], [0.667, 0.333, 0.365]]}



{"formula": "AlGaF3", "functional": "GGA-PBEsol", "state": "relaxed", "formation_energy_uncorrected_ev_per_atom": -2.09, "dos_at_fermi_per_ev_cell": 2.1, "sg": "Pm-3m (221)", "lattice": [[-1.720, -0.732, -3.550], [2.500, -3.085, -0.575], [-2.624, -2.459, 1.779]], "species": ["F", "F", "F", "Al", "Ga"], "frac_coords": [[0.500, 0.000, 0.000], [0.000, 0.500, 0.000], [0.000, 0.000, 0.500], [0.000, 0.000, 0.000], [0.500, 0.500, 0.500]]}



{"formula": "LaAlGa2F", "functional": "GGA-PBEsol", "state": "relaxed", "formation_energy_uncorrected_ev_per_atom": -0.75, "dos_at_fermi_per_ev_cell": 2.5, "sg": "P4/mmm (123)", "lattice": [[-2.405, 3.296, -0.765], [-3.047, -2.821, -2.575], [-2.564, -0.930, 4.054]], "species": ["La", "Al", "Ga", "Ga", "F"], "frac_coords": [[0.500, 0.500, 0.500], [0.500, 0.000, 0.000], [0.000, 0.000, 0.500], [0.000, 0.500, 0.000], [0.000, 0.000, 0.000]]}



{"formula": "AlGeH2F", "functional": "GGA-PBEsol", "state": "relaxed", "energy_ev_per_atom": -3.738, "dos_at_fermi_per_ev_cell": 1.5, "sg": "P4/mmm (123)", "lattice": [[-3.018, -2.241, 0.438], [0.779, -0.323, 3.719], [-2.165, 3.056, 0.719]], "species": ["F", "Ge", "H", "H", "Al"], "frac_coords": [[0.500, 0.000, 0.000], [0.500, 0.500, 0.500], [0.000, 0.500, 0.000], [0.000, 0.000, 0.500], [0.000, 0.000, 0.000]]}



{"formula": "KMgMn2AlGe3O10F2", "functional": "GGA-PBEsol", "state": "relaxed", "formation_energy_uncorrected_ev_per_atom": -2.08, "dos_at_fermi_per_ev_cell": 0.9, "sg": "P1 (1)", "lattice": [[5.483, -0.001, 0.003], [-2.734, 4.753, -0.004], [-0.924, -1.659, 10.385]], "species": ["O", "O", "O", "O", "O", "O", "O", "O", "O", "O", "F", "F", "Ge", "Ge", "Ge", "Al", "Mg", "K", "Mn", "Mn"], "frac_coords": [[0.024, 0.026, 0.835], [0.867, 0.448, 0.839], [0.703, 0.043, 0.604], [0.444, 0.866, 0.834], [0.302, 0.972, 0.395], [0.124, 0.557, 0.161], [0.962, 0.300, 0.395], [0.552, 0.124, 0.158], [0.982, 0.986, 0.160], [0.027, 0.692, 0.607], [0.387, 0.366, 0.601], [0.631, 0.605, 0.400], [0.090, 0.758, 0.780], [0.908, 0.247, 0.227], [0.243, 0.914, 0.227], [0.757, 0.094, 0.776], [0.672, 0.331, 0.505], [0.489, 0.495, 0.975], [0.996, 0.998, 0.510], [0.339, 0.677, 0.510]]}



{"formula": "KMg3AlGe3O10F2", "functional": "GGA-PBEsol", "state": "relaxed", "formation_energy_uncorrected_ev_per_atom": -2.43, "dos_at_fermi_per_ev_cell": 0.0, "sg": "P1 (1)", "lattice": [[-4.710, 1.258, 2.337], [-3.663, -3.865, 0.949], [3.003, -2.988, 9.692]], "species": ["O", "O", "O", "O", "O", "O", "O", "O", "O", "O", "F", "F", "Ge", "Ge", "Ge", "Al", "Mg", "Mg", "Mg", "K"], "frac_coords": [[0.585, 0.860, 0.165], [0.333, 0.699, 0.397], [0.588, 0.555, 0.833], [0.664, 0.299, 0.604], [0.418, 0.444, 0.164], [0.001, 0.027, 0.164], [0.412, 0.142, 0.834], [0.334, 0.966, 0.602], [0.668, 0.036, 0.397], [0.001, 0.967, 0.833], [0.994, 0.370, 0.408], [0.000, 0.640, 0.591], [0.335, 0.754, 0.231], [0.669, 0.088, 0.231], [0.666, 0.241, 0.776], [0.334, 0.909, 0.771], [0.660, 0.668, 0.508], [0.333, 0.325, 0.508], [0.003, 0.003, 0.508], [0.001, 0.507, 0.977]]}



{"formula": "NbAl2GeF", "functional": "GGA-PBEsol", "state": "relaxed", "formation_energy_uncorrected_ev_per_atom": 0.08, "dos_at_fermi_per_ev_cell": 4.0, "sg": "P4/mmm (123)", "lattice": [[4.003, 0.000, 0.000], [0.000, 5.084, 0.000], [0.000, 0.000, 5.084]], "species": ["F", "Nb", "Al", "Al", "Ge"], "frac_coords": [[0.500, 0.000, 0.000], [0.000, 0.000, 0.000], [0.000, 0.000, 0.500], [0.000, 0.500, 0.000], [0.500, 0.500, 0.500]]}



{"formula": "AlHF2", "functional": "GGA-PBEsol", "state": "relaxed", "energy_ev_per_atom": -4.303, "sg": "I4_1/amd (141)", "lattice": [[-0.609, 1.972, -4.819], [3.022, -4.838, 0.490], [-2.322, -4.445, -1.526]], "species": ["H", "H", "F", "F", "F", "F", "Al", "Al"], "frac_coords": [[0.250, 0.500, 0.250], [0.500, 0.000, 0.500], [0.375, 0.250, 0.875], [0.875, 0.750, 0.375], [0.875, 0.250, 0.875], [0.875, 0.750, 0.875], [0.000, 0.000, 0.000], [0.750, 0.500, 0.750]]}